# ScIn2Au2 | Alexandria via LeMat-Bulk | PBE | relaxed
data_ScIn2Au2
_chemical_formula_sum 'Sc2 In4 Au4'
_space_group_name_H-M_alt 'P 1'
_space_group_IT_number 1
_cell_length_a 8.005
_cell_length_b 8.005
_cell_length_c 3.388
_cell_angle_alpha 90.00
_cell_angle_beta 90.00
_cell_angle_gamma 90.00
loop_
_space_group_symop_operation_xyz
'x,y,z'
loop_
_atom_site_label
_atom_site_type_symbol
_atom_site_fract_x
_atom_site_fract_y
_atom_site_fract_z
Sc1 Sc 0.000 0.000 0.000
Sc2 Sc 0.500 0.500 0.000
Au1 Au 0.168 0.668 0.500
Au2 Au 0.668 0.832 0.500
Au3 Au 0.832 0.332 0.500
Au4 Au 0.332 0.168 0.500
In1 In 0.367 0.867 0.000
In2 In 0.867 0.633 0.000
In3 In 0.633 0.133 0.000
In4 In 0.133 0.367 0.000
# - E_tot: -3.86 eV/atom
# - Space group: P4/mbm
# - Distance to the lowest polymorph of the same formula: 288.7 meV per atom


# FeCo3Ni3 | Alexandria via LeMat-Bulk | PBE | relaxed
data_FeCo3Ni3
_chemical_formula_sum 'Fe2 Co6 Ni6'
_space_group_name_H-M_alt 'P 1'
_space_group_IT_number 1
_cell_length_a 4.048
_cell_length_b 6.622
_cell_length_c 6.623
_cell_angle_alpha 120.00
_cell_angle_beta 90.00
_cell_angle_gamma 90.00
loop_
_space_group_symop_operation_xyz
'x,y,z'
loop_
_atom_site_label
_atom_site_type_symbol
_atom_site_fract_x
_atom_site_fract_y
_atom_site_fract_z
Fe1 Fe 0.250 0.333 0.667
Fe2 Fe 0.750 0.667 0.333
Co1 Co 0.250 0.766 0.954
Co2 Co 0.250 0.046 0.813
Co3 Co 0.250 0.187 0.234
Co4 Co 0.750 0.234 0.046
Co5 Co 0.750 0.954 0.187
Co6 Co 0.750 0.813 0.766
Ni1 Ni 0.750 0.526 0.906
Ni2 Ni 0.750 0.094 0.619
Ni3 Ni 0.750 0.381 0.474
Ni4 Ni 0.250 0.474 0.094
Ni5 Ni 0.250 0.906 0.381
Ni6 Ni 0.250 0.619 0.526
# - E_tot: -6.78 eV/atom
# - Space group: P6_3/m


Energy of formation? In order: -0.1921; -0.0460 eV per atom.
V? In order: 21.71; 10.98 Å³ per atom.
Size of the total moment? In order: 0.4; 9.4 μB per formula unit.